Entry 1:
Density functional theory data (PBE-GGA) for a geometry-optimized Ni4Ir5 structure.

```
Ni4Ir5
1.0
-3.960 3.960 1.892
3.960 -3.960 1.892
3.960 3.960 -1.892
Ni Ir
4 5
Cartesian
2.643 0.000 0.000
5.277 0.000 0.000
0.000 2.643 0.000
0.000 5.277 0.000
0.000 0.000 0.000
2.629 2.629 0.000
1.330 -1.330 1.892
-1.330 1.330 1.892
1.330 1.330 1.892
```

Values from the calculation:
Excess energy over the best structure of this formula in the dataset   0.00 eV per formula unit
Space group   I4/mmm (139)
Crystal system   tetragonal
Energy of formation from the pure elements   67.9 meV per atom

Entry 2:
Density functional theory data (PBE-GGA) for a geometry-optimized Ni2Ir structure.

```
Ni2Ir
1.0
9.475 0.000 0.000
0.000 2.648 0.000
-1.553 0.000 5.926
Ni Ir
8 4
Cartesian
0.000 0.000 0.000
-0.446 0.000 3.619
0.616 1.324 5.586
3.251 0.000 1.591
4.737 1.324 0.000
4.292 1.324 3.619
5.353 0.000 5.586
7.988 1.324 1.591
1.054 1.324 1.948
2.124 0.000 3.990
5.791 0.000 1.948
6.861 1.324 3.990
```

Values from the calculation:
Excess energy over the best structure of this formula in the dataset   0.10 eV per formula unit
Space group   Cm (8)
Crystal system   monoclinic
Energy of formation from the pure elements   48.6 meV per atom

Entry 3:
Density functional theory data (PBE-GGA) for a geometry-optimized NiIr3 structure.

```
NiIr3
1.0
3.802 0.000 0.000
0.000 3.802 0.000
0.000 0.000 15.281
Ni Ir
4 12
Cartesian
0.000 0.000 1.865
0.000 0.000 13.416
1.901 1.901 5.775
1.901 1.901 9.505
0.000 0.000 5.705
0.000 0.000 9.576
0.000 1.901 0.000
0.000 1.901 3.820
0.000 1.901 7.640
0.000 1.901 11.461
1.901 0.000 0.000
1.901 0.000 3.820
1.901 0.000 7.640
1.901 0.000 11.461
1.901 1.901 1.936
1.901 1.901 13.345
```

Values from the calculation:
Space group   I4/mmm (139)
Crystal system   tetragonal
Energy of formation from the pure elements   56.7 meV per atom

| no. | uncorrected energy (eV/atom) | density (g/cm³) |
| --- | --- | --- |
| 1 | -7.424 | 16.7 |
| 2 | -6.759 | 13.8 |
| 3 | -8.034 | 19.1 |